Entry 1:
DFT (PBE) results for an optimized crystal structure of SiSnOs2.

## Properties
Uncorrected formation energy ... 82 kJ/mol of formula units
M_tot ... 0.0 Bohr magnetons per cell
Energy relative to the lowest polymorph listed for this composition ... 0 meV/atom
Symmetry ... Fm-3m
N(E_F) ... 0.26 states/eV/atom

Lattice parameters (Å, degrees): 4.407 4.407 4.407 60.00 60.00 60.00
Element x y z (fractional)
Os  0.250  0.250  0.250
Os  0.750  0.750  0.750
Si  0.000  0.000  0.000
Sn  0.500  0.500  0.500

Entry 2:
DFT (PBE) results for an optimized crystal structure of Tb5Sc2Sb4.

## Properties
Uncorrected formation energy ... -702 kJ/mol of formula units
M_tot ... 0.0 Bohr magnetons per cell
Symmetry ... C2/m
N(E_F) ... 0.91 states/eV/atom

Lattice parameters (Å, degrees): 4.156 7.748 11.105 112.36 100.78 90.00
Element x y z (fractional)
Sb  0.716  0.696  0.432
Sb  0.988  0.274  0.976
Sb  0.012  0.726  0.024
Sb  0.284  0.304  0.568
Sc  0.573  0.555  0.146
Sc  0.427  0.445  0.854
Tb  0.849  0.638  0.699
Tb  0.167  0.916  0.334
Tb  0.833  0.084  0.666
Tb  0.151  0.362  0.301
Tb  0.500  0.000  0.000

Entry 3:
DFT (PBE) results for an optimized crystal structure of B2Ru.

## Properties
Energy relative to the elements ... -0.2848 eV per atom
M_tot ... 0.0 Bohr magnetons per cell
Symmetry ... Pmmn
N(E_F) ... 0.21 states/eV/atom

Lattice parameters (Å, degrees): 2.878 4.061 4.669 90.00 90.00 90.00
Element x y z (fractional)
Ru  0.500  0.152  0.500
Ru  0.000  0.848  0.000
B  0.500  0.637  0.305
B  0.500  0.637  0.695
B  0.000  0.363  0.805
B  0.000  0.363  0.195

Entry 4:
DFT (PBE) results for an optimized crystal structure of BaLiLa2H.

## Properties
M_tot ... 0.0 Bohr magnetons per cell
Energy relative to the lowest polymorph listed for this composition ... 0 meV/atom
Symmetry ... P4/mmm
N(E_F) ... 1.24 states/eV/atom

Lattice parameters (Å, degrees): 5.095 5.095 6.001 90.00 90.00 90.00
Element x y z (fractional)
H  0.000  0.000  0.000
Li  0.500  0.500  0.500
La  0.500  0.000  0.000
La  0.000  0.500  0.000
Ba  0.000  0.000  0.500

Entry 5:
DFT (PBE) results for an optimized crystal structure of Rb2HgPd4.

## Properties
Energy relative to the elements ... 0.4906 eV per atom
M_tot ... 0.0 Bohr magnetons per cell
Symmetry ... I4/mmm
N(E_F) ... 0.41 states/eV/atom

Lattice parameters (Å, degrees): 5.208 5.208 8.840 72.87 72.87 90.00
Element x y z (fractional)
Rb  0.641  0.641  0.718
Rb  0.359  0.359  0.282
Pd  0.163  0.163  0.675
Pd  0.500  0.000  0.000
Pd  0.000  0.500  0.000
Pd  0.837  0.837  0.325
Hg  0.000  0.000  0.000

Entry 6:
DFT (PBE) results for an optimized crystal structure of Rb2CaCeO4.

## Properties
Uncorrected formation energy ... -1939 kJ/mol of formula units
M_tot ... 0.0 Bohr magnetons per cell
Symmetry ... P2/m
N(E_F) ... 0.00 states/eV/atom

Lattice parameters (Å, degrees): 3.628 6.837 6.131 72.70 90.00 90.00
Element x y z (fractional)
Ce  0.000  0.500  0.500
Ca  0.500  0.500  0.000
O  0.500  0.679  0.286
O  0.500  0.321  0.714
O  0.000  0.325  0.249
O  0.000  0.675  0.751
Rb  0.500  0.000  0.500
Rb  0.000  0.000  0.000